Compound: TiMn3Al
Source: Alexandria
Functional: PBE
Structure: optimized geometry

Summary:
Energy relative to the lowest polymorph listed for this composition   0.098 eV/atom
DFT total energy   -6.828 eV/atom
Crystal system   cubic
Energy of formation from the pure elements   1001 meV/atom

Cell: 4.448 4.448 4.448 Å, 90.00 90.00 90.00°
Fractional coordinates of all 5 atoms:
Ti 0.000 0.000 0.000
Mn 0.000 0.000 0.500
Mn 0.000 0.500 0.000
Mn 0.500 0.000 0.000
Al 0.500 0.500 0.500



Compound: LiTm12Pb7
Source: Alexandria
Functional: PBE
Structure: optimized geometry

Summary:
DFT total energy   -4.313 eV/atom
Crystal system   trigonal
Energy of formation from the pure elements   -236 meV/atom

Cell: 8.846 8.846 8.846 Å, 106.83 106.83 106.83°
Fractional coordinates of all 20 atoms:
Li 0.000 0.000 0.000
Tm 0.015 0.286 0.402
Tm 0.230 0.655 0.359
Tm 0.286 0.402 0.015
Tm 0.345 0.641 0.770
Tm 0.359 0.230 0.655
Tm 0.402 0.015 0.286
Tm 0.598 0.985 0.714
Tm 0.641 0.770 0.345
Tm 0.655 0.359 0.230
Tm 0.714 0.598 0.985
Tm 0.770 0.345 0.641
Tm 0.985 0.714 0.598
Pb 0.037 0.911 0.332
Pb 0.089 0.668 0.963
Pb 0.332 0.037 0.911
Pb 0.500 0.500 0.500
Pb 0.668 0.963 0.089
Pb 0.911 0.332 0.037
Pb 0.963 0.089 0.668



Compound: Dy4SbRh
Source: Alexandria
Functional: PBE
Structure: optimized geometry

Summary:
Energy relative to the lowest polymorph listed for this composition   0.051 eV/atom
DFT total energy   -5.651 eV/atom
Crystal system   monoclinic

Cell: 8.064 8.064 6.040 Å, 103.60 103.60 112.86°
Fractional coordinates of all 12 atoms:
Dy 0.061 0.711 0.927
Dy 0.212 0.356 0.669
Dy 0.289 0.939 0.573
Dy 0.356 0.212 0.169
Dy 0.644 0.788 0.831
Dy 0.711 0.061 0.427
Dy 0.788 0.644 0.331
Dy 0.939 0.289 0.073
Sb 0.374 0.626 0.250
Sb 0.626 0.374 0.750
Rh 0.001 0.999 0.750
Rh 0.999 0.001 0.250



Compound: Tb2PmCo6
Source: Alexandria
Functional: PBE
Structure: optimized geometry

Summary:
DFT total energy   -6.440 eV/atom
Crystal system   hexagonal
Energy of formation from the pure elements   -146 meV/atom

Cell: 6.691 6.691 4.101 Å, 90.00 90.00 120.00°
Fractional coordinates of all 9 atoms:
Tb 0.333 0.667 0.000
Tb 0.667 0.333 0.000
Pm 0.000 0.000 0.000
Co 0.000 0.335 0.500
Co 0.000 0.665 0.500
Co 0.335 0.000 0.500
Co 0.335 0.335 0.500
Co 0.665 0.000 0.500
Co 0.665 0.665 0.500



Compound: Y2CrSi
Source: Alexandria
Functional: PBE
Structure: optimized geometry

Summary:
DFT total energy   -7.007 eV/atom
Crystal system   tetragonal

Cell: 5.843 5.843 5.843 Å, 137.67 137.67 61.40°
Fractional coordinates of all 4 atoms:
Y 0.000 0.000 0.000
Y 0.750 0.250 0.500
Cr 0.250 0.750 0.500
Si 0.500 0.500 0.000



Compound: GaFeSiRu
Source: Alexandria
Functional: PBE
Structure: optimized geometry

Summary:
DFT total energy   -6.874 eV/atom
Crystal system   cubic

Cell: 4.116 4.116 4.116 Å, 60.00 60.00 60.00°
Fractional coordinates of all 4 atoms:
Ga 0.000 0.000 0.000
Fe 0.250 0.250 0.250
Si 0.500 0.500 0.500
Ru 0.750 0.750 0.750



Compound: PrMnTcC3
Source: Alexandria
Functional: PBE
Structure: optimized geometry

Summary:
DFT total energy   -8.530 eV/atom
Crystal system   monoclinic
Energy of formation from the pure elements   135 meV/atom

Cell: 6.042 3.441 7.694 Å, 90.00 109.39 90.00°
Fractional coordinates of all 12 atoms:
Pr 0.023 0.250 0.233
Pr 0.977 0.750 0.767
Mn 0.456 0.750 0.112
Mn 0.544 0.250 0.888
Tc 0.390 0.750 0.596
Tc 0.610 0.250 0.404
C 0.253 0.250 0.651
C 0.316 0.250 0.023
C 0.350 0.750 0.333
C 0.650 0.250 0.667
C 0.684 0.750 0.977
C 0.747 0.750 0.349



Compound: Na3CrAg
Source: Alexandria
Functional: PBE
Structure: optimized geometry

Summary:
Energy relative to the lowest polymorph listed for this composition   0.000 eV/atom
DFT total energy   -2.623 eV/atom
Crystal system   cubic
Energy of formation from the pure elements   664 meV/atom

Cell: 5.553 5.553 5.553 Å, 90.00 90.00 90.00°
Fractional coordinates of all 5 atoms:
Na 0.000 0.000 0.500
Na 0.000 0.500 0.000
Na 0.500 0.000 0.000
Cr 0.500 0.500 0.500
Ag 0.000 0.000 0.000



Compound: Nb2ZnCrP
Source: Alexandria
Functional: PBE
Structure: optimized geometry

Summary:
DFT total energy   -6.623 eV/atom
Crystal system   tetragonal
Energy of formation from the pure elements   666 meV/atom

Cell: 4.679 4.679 4.219 Å, 90.00 90.00 90.00°
Fractional coordinates of all 5 atoms:
Nb 0.000 0.500 0.000
Nb 0.500 0.000 0.000
Zn 0.000 0.000 0.500
Cr 0.500 0.500 0.000
P 0.500 0.500 0.500



Compound: Li5SiTe6
Source: Alexandria
Functional: PBE
Structure: optimized geometry

Summary:
DFT total energy   -3.337 eV/atom
Crystal system   monoclinic

Cell: 6.215 6.215 7.709 Å, 96.02 96.02 103.28°
Fractional coordinates of all 12 atoms:
Li 0.000 0.000 0.000
Li 0.162 0.838 0.500
Li 0.342 0.658 0.000
Li 0.658 0.342 0.000
Li 0.838 0.162 0.500
Si 0.500 0.500 0.500
Te 0.099 0.412 0.255
Te 0.261 0.261 0.739
Te 0.412 0.099 0.255
Te 0.588 0.901 0.745
Te 0.739 0.739 0.261
Te 0.901 0.588 0.745



Compound: Rb2CeHgI6
Source: Alexandria
Functional: PBE
Structure: optimized geometry

Summary:
DFT total energy   -2.922 eV/atom
Crystal system   trigonal

Cell: 9.440 9.440 9.440 Å, 57.45 57.45 57.45°
Fractional coordinates of all 10 atoms:
Rb 0.000 0.000 0.000
Rb 0.479 0.479 0.479
Ce 0.800 0.800 0.800
Hg 0.295 0.295 0.295
I 0.011 0.463 0.702
I 0.140 0.890 0.598
I 0.463 0.702 0.011
I 0.598 0.140 0.890
I 0.702 0.011 0.463
I 0.890 0.598 0.140



Compound: KAc2IrO6
Source: Alexandria
Functional: PBE
Structure: optimized geometry

Summary:
DFT total energy   -6.950 eV/atom
Crystal system   trigonal

Cell: 5.952 5.952 5.952 Å, 64.30 64.30 64.30°
Fractional coordinates of all 10 atoms:
K 0.000 0.000 0.000
Ac 0.270 0.270 0.270
Ac 0.730 0.730 0.730
Ir 0.500 0.500 0.500
O 0.170 0.682 0.400
O 0.318 0.600 0.830
O 0.400 0.170 0.682
O 0.600 0.830 0.318
O 0.682 0.400 0.170
O 0.830 0.318 0.600



Compound: PaNbCu
Source: Alexandria
Functional: PBE
Structure: optimized geometry

Summary:
Energy relative to the lowest polymorph listed for this composition   0.000 eV/atom
DFT total energy   -7.668 eV/atom
Crystal system   tetragonal
Energy of formation from the pure elements   219 meV/atom

Cell: 5.018 5.018 5.018 Å, 136.95 136.95 62.52°
Fractional coordinates of all 3 atoms:
Pa 0.000 0.000 0.000
Nb 0.300 0.300 0.000
Cu 0.664 0.664 0.000



Compound: CsHoAgF6
Source: Alexandria
Functional: PBE
Structure: optimized geometry

Summary:
DFT total energy   -4.993 eV/atom
Crystal system   orthorhombic

Cell: 8.183 8.183 8.183 Å, 122.95 118.70 88.62°
Fractional coordinates of all 18 atoms:
Cs 0.336 0.086 0.250
Cs 0.664 0.914 0.750
Ho 0.000 0.500 0.500
Ho 0.500 0.500 0.000
Ag 0.000 0.000 0.500
Ag 0.000 0.500 0.000
F 0.057 0.807 0.250
F 0.073 0.410 0.247
F 0.073 0.826 0.663
F 0.306 0.556 0.750
F 0.337 0.174 0.747
F 0.337 0.590 0.163
F 0.663 0.410 0.837
F 0.663 0.826 0.253
F 0.694 0.444 0.250
F 0.927 0.174 0.337
F 0.927 0.590 0.753
F 0.943 0.193 0.750



Compound: Sr2Zn3AgAu4
Source: Alexandria
Functional: PBE
Structure: optimized geometry

Summary:
DFT total energy   -2.782 eV/atom
Crystal system   tetragonal
Energy of formation from the pure elements   -467 meV/atom

Cell: 4.569 4.569 10.789 Å, 90.00 90.00 90.00°
Fractional coordinates of all 10 atoms:
Sr 0.000 0.500 0.248
Sr 0.500 0.000 0.752
Zn 0.000 0.500 0.878
Zn 0.500 0.000 0.122
Zn 0.500 0.500 0.500
Ag 0.000 0.000 0.500
Au 0.000 0.000 0.000
Au 0.000 0.500 0.643
Au 0.500 0.000 0.357
Au 0.500 0.500 0.000



Compound: KY3As4O12
Source: Alexandria
Functional: PBE
Structure: optimized geometry

Summary:
DFT total energy   -6.767 eV/atom
Crystal system   trigonal

Cell: 7.270 7.270 7.270 Å, 104.17 104.17 104.17°
Fractional coordinates of all 20 atoms:
K 0.000 0.000 0.000
Y 0.000 0.567 0.433
Y 0.433 0.000 0.567
Y 0.567 0.433 0.000
As 0.078 0.500 0.922
As 0.500 0.500 0.500
As 0.500 0.922 0.078
As 0.922 0.078 0.500
O 0.016 0.255 0.384
O 0.076 0.924 0.500
O 0.255 0.384 0.016
O 0.330 0.670 0.500
O 0.384 0.016 0.255
O 0.500 0.076 0.924
O 0.500 0.330 0.670
O 0.616 0.745 0.984
O 0.670 0.500 0.330
O 0.745 0.984 0.616
O 0.924 0.500 0.076
O 0.984 0.616 0.745



Compound: PuMgCdPd
Source: Alexandria
Functional: PBE
Structure: optimized geometry

Summary:
DFT total energy   -5.703 eV/atom
Crystal system   cubic
Energy of formation from the pure elements   -195 meV/atom

Cell: 5.000 5.000 5.000 Å, 60.00 60.00 60.00°
Fractional coordinates of all 4 atoms:
Pu 0.000 0.000 0.000
Mg 0.500 0.500 0.500
Cd 0.750 0.750 0.750
Pd 0.250 0.250 0.250



Compound: PmLuInCu
Source: Alexandria
Functional: PBE
Structure: optimized geometry

Summary:
DFT total energy   -4.313 eV/atom
Crystal system   cubic
Energy of formation from the pure elements   -287 meV/atom

Cell: 5.179 5.179 5.179 Å, 60.00 60.00 60.00°
Fractional coordinates of all 4 atoms:
Pm 0.000 0.000 0.000
Lu 0.500 0.500 0.500
In 0.750 0.750 0.750
Cu 0.250 0.250 0.250



Compound: LaPmAl2Ga2
Source: Alexandria
Functional: PBE
Structure: optimized geometry

Summary:
DFT total energy   -4.469 eV/atom
Crystal system   trigonal
Energy of formation from the pure elements   -599 meV/atom

Cell: 4.349 4.349 8.697 Å, 90.00 90.00 120.00°
Fractional coordinates of all 6 atoms:
La 0.000 0.000 0.000
Pm 0.000 0.000 0.500
Al 0.333 0.667 0.743
Al 0.667 0.333 0.257
Ga 0.333 0.667 0.258
Ga 0.667 0.333 0.742



Compound: LaCrSe2
Source: Alexandria
Functional: PBE
Structure: optimized geometry

Summary:
Energy relative to the lowest polymorph listed for this composition   0.070 eV/atom
DFT total energy   -6.413 eV/atom
Crystal system   monoclinic

Cell: 3.899 3.681 6.933 Å, 90.00 90.23 90.00°
Fractional coordinates of all 4 atoms:
La 0.000 0.000 0.000
Cr 0.500 0.000 0.500
Se 0.498 0.500 0.756
Se 0.502 0.500 0.244